Computed, not measured: crystalline CaMnMoO4 at its relaxed geometry at the PBE+U level of DFT.

VASP energy   -7.05 eV/atom
Size of the total moment   10.04 μB per cell
Space-group type   Imma
V   183.1 Å³ per cell

Cell lengths 6.2571, 6.3611, 6.5497 Å; angles 120.99, 90.00, 119.46 degrees
Site moments in Bohr magnetons follow the coordinates.
Sites, in units of the cell vectors:
Ca  0.8740  0.7479  0.1240  0.01
Ca  0.1260  0.2521  0.8760  0.01
Mn  0.5000  0.5000  0.5000  2.14
Mn  0.0000  0.5000  0.5000  2.14
Mo  0.5000  0.0000  0.5000  2.70
Mo  0.5000  0.0000  0.0000  2.70
O  0.7416  0.4832  0.6969  -0.02
O  0.3018  0.0503  0.2752  0.00
O  0.7486  0.0503  0.2752  0.00
O  0.7416  0.4832  0.2863  -0.02
O  0.2584  0.5168  0.7137  -0.02
O  0.6982  0.9497  0.7248  0.00
O  0.2514  0.9497  0.7248  0.00
O  0.2584  0.5168  0.3031  -0.02